Record 1
Compound: LiSiNi4
Source: the Alexandria database
Functional: GGA-PBE
Structure: optimized geometry

Cell: 4.660 4.660 4.660 Å, 60.00 60.00 60.00°
Sites, in units of the cell vectors:
Li1 0.000 0.000 0.000
Si1 0.250 0.250 0.250
Ni1 0.625 0.625 0.126
Ni2 0.625 0.126 0.625
Ni3 0.625 0.625 0.625
Ni4 0.126 0.625 0.625

Energy above the most stable polymorph in this dataset (eV/atom): 0.268
E_form (uncorrected) (eV per formula unit): -0.27
Crystal system: cubic

---

Record 2
Compound: LaFe2Cl
Source: the Alexandria database
Functional: GGA-PBE
Structure: optimized geometry

Cell: 3.385 4.339 5.497 Å, 90.00 90.00 90.00°
Sites, in units of the cell vectors:
Cl1 0.000 0.500 0.500
Fe1 0.000 0.000 0.000
Fe2 0.500 0.500 0.000
La1 0.500 0.000 0.500

Energy above the most stable polymorph in this dataset (eV/atom): 0.270
E_form (uncorrected) (eV per formula unit): 0.24
Crystal system: orthorhombic

---

Record 3
Compound: CsCaI3
Source: the Alexandria database
Functional: GGA-PBE
Structure: optimized geometry

Cell: 6.218 6.218 6.218 Å, 90.00 90.00 90.00°
Sites, in units of the cell vectors:
Cs1 0.000 0.000 0.000
I1 0.500 0.000 0.500
I2 0.000 0.500 0.500
I3 0.500 0.500 0.000
Ca1 0.500 0.500 0.500

E_form (uncorrected) (eV per formula unit): -7.95
Crystal system: cubic

---

Record 4
Compound: AcSmI2
Source: the Alexandria database
Functional: GGA-PBE
Structure: optimized geometry

Cell: 3.954 3.954 10.476 Å, 79.12 79.12 60.00°
Sites, in units of the cell vectors:
I1 0.255 0.255 0.234
I2 0.745 0.745 0.766
Ac1 0.500 0.500 0.500
Sm1 0.000 0.000 0.000

Energy above the most stable polymorph in this dataset (eV/atom): 0.031
E_form (uncorrected) (eV per formula unit): -3.30
Crystal system: trigonal

---

Record 5
Compound: Na2AcMoN4
Source: the Alexandria database
Functional: GGA-PBE
Structure: optimized geometry

Cell: 6.000 5.506 5.506 Å, 79.19 56.98 56.98°
Sites, in units of the cell vectors:
Na1 0.500 0.750 0.250
Na2 0.500 0.250 0.750
Ac1 0.000 0.000 0.000
Mo1 0.000 0.500 0.500
N1 0.636 0.530 0.835
N2 0.364 0.165 0.470
N3 0.000 0.470 0.165
N4 0.000 0.835 0.530

E_form (uncorrected) (eV per formula unit): -3.28
Crystal system: tetragonal

---

Record 6
Compound: Mg3Os
Source: the Alexandria database
Functional: GGA-PBE
Structure: optimized geometry

Cell: 5.600 5.600 5.600 Å, 150.42 124.93 63.75°
Sites, in units of the cell vectors:
Mg1 0.067 0.735 0.333
Mg2 0.489 0.500 0.989
Mg3 0.598 0.265 0.333
Os1 0.013 0.000 0.013

Formation energy from the elements (kcal/mol of atoms): 4.8
Crystal system: orthorhombic

---

Record 7
Compound: LaHoIO6
Source: the Alexandria database
Functional: GGA-PBE
Structure: optimized geometry

Cell: 5.659 5.659 10.122 Å, 90.00 90.00 120.00°
Sites, in units of the cell vectors:
La1 0.000 0.000 0.000
La2 0.000 0.000 0.500
Ho1 0.333 0.667 0.250
Ho2 0.667 0.333 0.750
I1 0.667 0.333 0.250
I2 0.333 0.667 0.750
O1 0.660 0.627 0.139
O2 0.967 0.340 0.139
O3 0.340 0.967 0.639
O4 0.033 0.660 0.861
O5 0.373 0.340 0.361
O6 0.967 0.627 0.361
O7 0.627 0.967 0.861
O8 0.660 0.033 0.361
O9 0.033 0.373 0.639
O10 0.373 0.033 0.139
O11 0.627 0.660 0.639
O12 0.340 0.373 0.861

E_form (uncorrected) (eV per formula unit): -18.67
Crystal system: trigonal

---

Record 8
Compound: NaYTi
Source: the Alexandria database
Functional: GGA-PBE
Structure: optimized geometry

Cell: 5.089 5.089 10.401 Å, 90.00 90.00 120.00°
Sites, in units of the cell vectors:
Y1 0.000 0.000 0.250
Y2 0.000 0.000 0.750
Na1 0.333 0.667 0.250
Na2 0.667 0.333 0.750
Ti1 0.000 0.000 0.000
Ti2 0.000 0.000 0.500

Energy above the most stable polymorph in this dataset (eV/atom): 1.807
Formation energy from the elements (kcal/mol of atoms): 44.2
Crystal system: hexagonal

---

Record 9
Compound: Gd2ErBi
Source: the Alexandria database
Functional: GGA-PBE
Structure: optimized geometry

Cell: 4.128 4.128 7.123 Å, 90.00 90.00 90.00°
Sites, in units of the cell vectors:
Gd1 0.000 0.000 0.768
Gd2 0.000 0.000 0.232
Bi1 0.500 0.500 0.000
Er1 0.500 0.500 0.500

Energy above the most stable polymorph in this dataset (eV/atom): 0.000
Formation energy from the elements (kcal/mol of atoms): -9.1
Crystal system: tetragonal

---

Record 10
Compound: PaZnCd2O6
Source: the Alexandria database
Functional: GGA-PBE
Structure: optimized geometry

Cell: 5.651 5.648 5.906 Å, 61.40 61.37 60.00°
Sites, in units of the cell vectors:
Pa1 0.817 0.817 0.548
Zn1 0.316 0.316 0.052
Cd1 0.539 0.539 0.384
Cd2 0.037 0.038 0.887
O1 0.586 0.187 0.271
O2 0.187 0.957 0.271
O3 0.956 0.586 0.271
O4 0.449 0.681 0.777
O5 0.681 0.092 0.777
O6 0.092 0.450 0.777

E_form (uncorrected) (eV per formula unit): -18.19
Crystal system: trigonal

---

Record 11
Compound: NaSiOs2W
Source: the Alexandria database
Functional: GGA-PBE
Structure: optimized geometry

Cell: 4.694 5.202 4.694 Å, 90.00 90.00 90.00°
Sites, in units of the cell vectors:
Na1 0.000 0.500 0.000
Si1 0.500 0.500 0.500
Os1 0.000 0.000 0.500
Os2 0.500 0.000 0.000
W1 0.000 0.000 0.000

E_form (uncorrected) (eV per formula unit): 10.60
Crystal system: tetragonal

---

Record 12
Compound: AlCdF2
Source: the Alexandria database
Functional: GGA-PBE
Structure: optimized geometry

Cell: 8.511 8.511 8.511 Å, 20.57 20.57 20.57°
Sites, in units of the cell vectors:
F1 0.931 0.931 0.931
F2 0.069 0.069 0.069
Al1 0.000 0.000 0.000
Cd1 0.500 0.500 0.500

Energy above the most stable polymorph in this dataset (eV/atom): 0.036
E_form (uncorrected) (eV per formula unit): -6.73
Crystal system: trigonal

---

Record 13
Compound: Ac2SmTl
Source: the Alexandria database
Functional: GGA-PBE
Structure: optimized geometry

Cell: 3.939 3.939 9.762 Å, 90.00 90.00 90.00°
Sites, in units of the cell vectors:
Ac1 0.000 0.000 0.769
Ac2 0.000 0.000 0.231
Tl1 0.500 0.500 0.000
Sm1 0.500 0.500 0.500

Energy above the most stable polymorph in this dataset (eV/atom): 0.014
Formation energy from the elements (kcal/mol of atoms): -2.8
Crystal system: tetragonal

---

Record 14
Compound: CePmEr2N4
Source: the Alexandria database
Functional: GGA-PBE
Structure: optimized geometry

Cell: 3.510 6.069 6.071 Å, 109.29 90.00 90.00°
Sites, in units of the cell vectors:
Ce1 0.000 0.000 0.000
Pm1 0.500 0.500 0.000
Er1 0.500 0.000 0.500
Er2 0.000 0.500 0.500
N1 0.500 0.248 0.257
N2 0.500 0.752 0.743
N3 0.000 0.240 0.742
N4 0.000 0.760 0.258

E_form (uncorrected) (eV per formula unit): -12.89
Crystal system: monoclinic

---

Record 15
Compound: YCd2FeTe
Source: the Alexandria database
Functional: GGA-PBE
Structure: optimized geometry

Cell: 5.811 4.976 5.811 Å, 90.00 90.00 90.00°
Sites, in units of the cell vectors:
Y1 0.000 0.000 0.000
Te1 0.500 0.500 0.500
Fe1 0.000 0.500 0.000
Cd1 0.000 0.000 0.500
Cd2 0.500 0.000 0.000

E_form (uncorrected) (eV per formula unit): 4.92
Crystal system: tetragonal

---

Record 16
Compound: Ni2PW2
Source: the Alexandria database
Functional: GGA-PBE
Structure: optimized geometry

Cell: 5.674 5.674 4.107 Å, 90.00 90.00 90.00°
Sites, in units of the cell vectors:
Ni1 0.355 0.855 0.000
Ni2 0.855 0.645 0.000
Ni3 0.645 0.145 0.000
Ni4 0.145 0.355 0.000
W1 0.165 0.665 0.500
W2 0.665 0.835 0.500
W3 0.835 0.335 0.500
W4 0.335 0.165 0.500
P1 0.000 0.000 0.000
P2 0.500 0.500 0.000

Energy above the most stable polymorph in this dataset (eV/atom): 0.000
Formation energy from the elements (kcal/mol of atoms): 2.2
Crystal system: tetragonal

---

Record 17
Compound: BeCuPt2
Source: the Alexandria database
Functional: GGA-PBE
Structure: optimized geometry

Cell: 5.103 5.103 5.103 Å, 148.37 131.72 58.87°
Sites, in units of the cell vectors:
Be1 0.497 0.497 0.000
Cu1 0.713 0.213 0.500
Pt1 0.004 0.004 0.000
Pt2 0.286 0.786 0.500

Formation energy from the elements (kcal/mol of atoms): -8.0
Crystal system: orthorhombic

---

Record 18
Compound: YHfTa
Source: the Alexandria database
Functional: GGA-PBE
Structure: optimized geometry

Cell: 6.202 5.458 10.275 Å, 90.00 125.10 90.00°
Sites, in units of the cell vectors:
Y1 0.914 0.093 0.138
Y2 0.086 0.093 0.862
Y3 0.914 0.593 0.638
Y4 0.086 0.593 0.362
Hf1 0.000 0.598 0.000
Hf2 0.000 0.098 0.500
Hf3 0.500 0.051 0.500
Hf4 0.500 0.551 0.000
Ta1 0.498 0.921 0.210
Ta2 0.502 0.921 0.790
Ta3 0.498 0.421 0.710
Ta4 0.502 0.421 0.290

Energy above the most stable polymorph in this dataset (eV/atom): 0.031
Formation energy from the elements (kcal/mol of atoms): 5.5
Crystal system: monoclinic

---

Record 19
Compound: RbTl2TeI
Source: the Alexandria database
Functional: GGA-PBE
Structure: optimized geometry

Cell: 4.856 11.122 9.400 Å, 122.77 90.00 90.00°
Sites, in units of the cell vectors:
Rb1 0.750 0.468 0.208
Rb2 0.250 0.532 0.792
Tl1 0.250 0.929 0.076
Tl2 0.250 0.845 0.481
Tl3 0.750 0.155 0.519
Tl4 0.750 0.071 0.924
Te1 0.750 0.810 0.208
Te2 0.250 0.190 0.792
I1 0.750 0.709 0.667
I2 0.250 0.291 0.333

E_form (uncorrected) (eV per formula unit): -3.40
Crystal system: monoclinic

---

Record 20
Compound: Ho2Cd5Hg12
Source: the Alexandria database
Functional: GGA-PBE
Structure: optimized geometry

Cell: 5.374 10.205 10.205 Å, 61.80 76.02 76.02°
Sites, in units of the cell vectors:
Ho1 0.000 0.235 0.765
Ho2 0.000 0.765 0.235
Cd1 0.386 0.202 0.202
Cd2 0.804 0.300 0.300
Cd3 0.500 0.000 0.000
Cd4 0.196 0.700 0.700
Cd5 0.614 0.798 0.798
Hg1 0.057 0.889 0.889
Hg2 0.194 0.531 0.089
Hg3 0.194 0.089 0.531
Hg4 0.607 0.645 0.152
Hg5 0.607 0.152 0.645
Hg6 0.285 0.447 0.447
Hg7 0.715 0.553 0.553
Hg8 0.393 0.355 0.848
Hg9 0.393 0.848 0.355
Hg10 0.806 0.469 0.911
Hg11 0.806 0.911 0.469
Hg12 0.943 0.111 0.111

Energy above the most stable polymorph in this dataset (eV/atom): 0.000
Formation energy from the elements (kcal/mol of atoms): -2.3
Crystal system: monoclinic

---

Record 21
Compound: Tb8Te4As3N
Source: the Alexandria database
Functional: GGA-PBE
Structure: optimized geometry

Cell: 8.236 8.520 8.237 Å, 118.91 120.00 90.00°
Sites, in units of the cell vectors:
Tb1 0.221 0.703 0.982
Tb2 0.221 0.703 0.442
Tb3 0.261 0.282 0.521
Tb4 0.761 0.703 0.982
Tb5 0.239 0.297 0.018
Tb6 0.739 0.718 0.479
Tb7 0.779 0.297 0.558
Tb8 0.779 0.297 0.018
Te1 0.500 0.000 0.000
Te2 0.500 0.000 0.500
Te3 0.000 0.000 0.000
Te4 0.000 0.000 0.500
As1 0.500 0.500 0.000
As2 0.500 0.500 0.500
As3 0.000 0.500 0.500
N1 0.000 0.500 0.000

E_form (uncorrected) (eV per formula unit): -22.95
Crystal system: trigonal

---

Record 22
Compound: Sc2NbCd
Source: the Alexandria database
Functional: GGA-PBE
Structure: optimized geometry

Cell: 4.233 4.449 4.449 Å, 90.00 90.00 90.00°
Sites, in units of the cell vectors:
Sc1 0.000 0.000 0.500
Sc2 0.000 0.500 0.000
Nb1 0.500 0.500 0.500
Cd1 0.500 0.000 0.000

Formation energy from the elements (kcal/mol of atoms): 0.7
Crystal system: tetragonal

---

Record 23
Compound: K2Pm2ZrS6
Source: the Alexandria database
Functional: GGA-PBE
Structure: optimized geometry

Cell: 6.928 6.928 7.892 Å, 98.65 98.65 119.37°
Sites, in units of the cell vectors:
K1 0.830 0.170 0.000
K2 0.170 0.830 0.000
Pm1 0.334 0.666 0.500
Pm2 0.666 0.334 0.500
Zr1 0.000 0.000 0.500
S1 0.759 0.759 0.696
S2 0.066 0.378 0.697
S3 0.241 0.241 0.304
S4 0.378 0.066 0.697
S5 0.934 0.622 0.303
S6 0.622 0.934 0.303

E_form (uncorrected) (eV per formula unit): -19.49
Crystal system: monoclinic

---

Record 24
Compound: KBe4Pt
Source: the Alexandria database
Functional: GGA-PBE
Structure: optimized geometry

Cell: 4.771 4.771 4.771 Å, 60.00 60.00 60.00°
Sites, in units of the cell vectors:
K1 0.750 0.750 0.750
Be1 0.886 0.371 0.371
Be2 0.371 0.371 0.886
Be3 0.371 0.886 0.371
Be4 0.371 0.371 0.371
Pt1 0.000 0.000 0.000

Formation energy from the elements (kcal/mol of atoms): 9.5
Crystal system: cubic

---

Record 25
Compound: Ca2BeP
Source: the Alexandria database
Functional: GGA-PBE
Structure: optimized geometry

Cell: 5.378 5.378 9.293 Å, 73.18 73.18 90.00°
Sites, in units of the cell vectors:
P1 0.000 0.000 0.000
P2 0.750 0.250 0.500
Ca1 0.644 0.125 0.250
Ca2 0.106 0.625 0.250
Ca3 0.375 0.356 0.750
Ca4 0.875 0.894 0.750
Be1 0.500 0.500 0.000
Be2 0.250 0.750 0.500

Energy above the most stable polymorph in this dataset (eV/atom): 0.832
Formation energy from the elements (kcal/mol of atoms): 6.3
Crystal system: tetragonal